1.
Computed, not measured: a relaxed structure of RbHoGe2Cl8 at the PBE level of DFT.

Calculated values
Crystal system ... triclinic
DFT total energy ... -3.94 eV/atom
Density of states at the Fermi level ... 0.00 states/eV/cell

Lattice parameters (Å, degrees): 7.0214 6.3122 9.3370 91.56 86.88 84.17
Last column: nearest neighbours and their distance in Å.
Sites, in units of the cell vectors:
Cl 0.3051 0.2225 0.9598  1 Ge 2.44, 1 Ho 2.69
Cl 0.8737 0.2780 0.2126  1 Ge 2.62, 1 Ho 2.67
Cl 0.6318 0.7272 0.4196  1 Ge 2.28
Cl 0.1263 0.7220 0.7874  1 Ge 2.62, 1 Ho 2.67
Cl 0.6949 0.7775 0.0402  1 Ge 2.44, 1 Ho 2.69
Cl 0.3682 0.2728 0.5804  1 Ge 2.28
Cl 0.1888 0.7883 0.1910  1 Ho 2.60
Cl 0.8112 0.2117 0.8090  1 Ho 2.60
Ho 0.0000 0.0000 0.0000  6 Cl 2.60-2.69
Ge 0.4371 0.4542 0.7827  2 Cl 2.28-2.44
Ge 0.5629 0.5458 0.2173  2 Cl 2.28-2.44
Rb 0.0000 0.0000 0.5000  6 Cl 3.30-3.36

=====

2.
Computed, not measured: a relaxed structure of GeICl at the PBE level of DFT.

Calculated values
Crystal system ... cubic
DFT total energy ... -2.98 eV/atom
Density of states at the Fermi level ... 0.00 states/eV/cell

Lattice parameters (Å, degrees): 5.0272 5.0272 5.0272 60.00 60.00 60.00
Last column: nearest neighbours and their distance in Å.
Sites, in units of the cell vectors:
I 0.0000 0.0000 0.0000  4 Ge 3.08
Ge 0.2500 0.2500 0.2500  4 I 3.08, 4 Cl 3.08
Cl 0.5000 0.5000 0.5000  4 Ge 3.08

=====

3.
Computed, not measured: a relaxed structure of GeI2Cl8 at the PBE level of DFT.

Calculated values
Crystal system ... triclinic
DFT total energy ... -2.42 eV/atom

Lattice parameters (Å, degrees): 6.8464 6.4765 11.2656 119.86 92.97 74.12
Last column: nearest neighbours and their distance in Å.
Sites, in units of the cell vectors:
Cl 0.7600 0.9913 0.8640  1 Ge 2.38
Cl 0.2400 0.0087 0.1360  1 Ge 2.38
Cl 0.7314 0.7624 0.0585  1 Ge 2.21
Cl 0.7822 0.7593 0.4689  1 I 2.42
Cl 0.4417 0.6227 0.8006  1 Ge 2.48, 1 I 2.65
Cl 0.5583 0.3773 0.1994  1 Ge 2.48, 1 I 2.65
Cl 0.2178 0.2407 0.5311  1 I 2.42
Cl 0.2686 0.2376 0.9415  1 Ge 2.21
I 0.6068 0.6764 0.6142  2 Cl 2.42-2.65
I 0.3932 0.3236 0.3858  2 Cl 2.42-2.65
Ge 0.5000 0.0000 0.0000  4 Cl 2.21-2.38

=====

4.
Computed, not measured: a relaxed structure of Ge2ICl3 at the PBE level of DFT.

Calculated values
Crystal system ... monoclinic
Distance to the lowest polymorph of the same formula ... 0.000 eV per atom
Density of states at the Fermi level ... 0.00 states/eV/cell

Lattice parameters (Å, degrees): 4.0355 9.1911 12.2024 89.71 80.48 77.32
Last column: nearest neighbours and their distance in Å.
Sites, in units of the cell vectors:
Cl 0.7965 0.8513 0.5556  1 Ge 2.42
Cl 0.2035 0.1487 0.4444  1 Ge 2.42
Cl 0.9094 0.9295 0.2518  2 Ge 2.59
Cl 0.6944 0.6541 0.9571  1 Ge 2.39
Cl 0.3056 0.3459 0.0429  1 Ge 2.39
Cl 0.0906 0.0705 0.7482  2 Ge 2.59
Ge 0.6361 0.1104 0.6174  3 Cl 2.42-2.59
Ge 0.8591 0.4088 0.8730  1 Cl 2.39
Ge 0.1409 0.5912 0.1270  1 Cl 2.39
Ge 0.3639 0.8896 0.3826  3 Cl 2.42-2.59
I 0.3999 0.4867 0.7134  2 Ge 2.89
I 0.6001 0.5133 0.2866  2 Ge 2.89

=====

5.
Computed, not measured: a relaxed structure of Ge2ICl3 at the PBE level of DFT.

Calculated values
Crystal system ... monoclinic
Distance to the lowest polymorph of the same formula ... 0.039 eV per atom
Density of states at the Fermi level ... 0.00 states/eV/cell

Lattice parameters (Å, degrees): 5.9241 8.9152 9.4446 97.20 108.28 90.00
Last column: nearest neighbours and their distance in Å.
Sites, in units of the cell vectors:
Cl 0.5988 0.4571 0.1975  1 Ge 2.19
Cl 0.7994 0.6862 0.5989  1 Ge 2.54
Cl 0.9963 0.7985 0.9927  1 Ge 2.28
Cl 0.0037 0.2015 0.0073  1 Ge 2.28
Cl 0.4012 0.5429 0.8025  1 Ge 2.19
Cl 0.2006 0.3138 0.4011  1 Ge 2.54
I 0.3680 0.9630 0.7360  3 Ge 2.86-3.02
I 0.6320 0.0370 0.2640  3 Ge 2.86-3.02
Ge 0.8935 0.9248 0.7870  2 Cl 2.28-2.54
Ge 0.2995 0.6548 0.5991  1 Cl 2.19
Ge 0.7005 0.3452 0.4009  1 Cl 2.19
Ge 0.1065 0.0752 0.2130  2 Cl 2.28-2.54

=====

6.
Computed, not measured: a relaxed structure of GeICl at the PBE level of DFT.

Calculated values
Crystal system ... trigonal
DFT total energy ... -3.20 eV/atom
Density of states at the Fermi level ... 0.00 states/eV/cell

Lattice parameters (Å, degrees): 6.9940 4.1242 4.1242 120.00 90.00 90.00
Last column: nearest neighbours and their distance in Å.
Sites, in units of the cell vectors:
Cl 0.1158 0.0000 0.0000  3 Ge 2.75
Ge 0.3117 0.6667 0.3333  3 Cl 2.75, 3 I 3.00
I 0.5726 0.3333 0.6667  3 Ge 3.00

=====

7.
Computed, not measured: a relaxed structure of Ge3ICl12 at the PBE level of DFT.

Calculated values
Crystal system ... trigonal
DFT total energy ... -3.14 eV/atom
Density of states at the Fermi level ... 21.98 states/eV/cell

Lattice parameters (Å, degrees): 13.1165 13.1165 13.1081 59.98 59.98 60.00
Last column: nearest neighbours and their distance in Å.
Sites, in units of the cell vectors:
Cl 0.9523 0.5741 0.4703  1 Ge 2.14
Cl 0.3006 0.9353 0.5971  1 Ge 2.14
Cl 0.6670 0.4353 0.0971  1 Ge 2.14
Cl 0.2715 0.5195 0.3120  1 Ge 2.14
Cl 0.8970 0.2715 0.3120  1 Ge 2.14
Cl 0.6944 0.1306 0.5882  1 Ge 2.14
Cl 0.4353 0.8006 0.0971  1 Ge 2.14
Cl 0.5195 0.8970 0.3120  1 Ge 2.14
Cl 0.1306 0.5868 0.5882  1 Ge 2.14
Cl 0.0868 0.6306 0.0882  1 Ge 2.14
Cl 0.3970 0.0195 0.8120  1 Ge 2.14
Cl 0.7715 0.3970 0.8120  1 Ge 2.14
Cl 0.5868 0.6944 0.5882  1 Ge 2.14
Cl 0.0034 0.9523 0.4703  1 Ge 2.14
Cl 0.0195 0.7715 0.8120  1 Ge 2.14
Cl 0.8006 0.6670 0.0971  1 Ge 2.14
Cl 0.5034 0.0741 0.9703  1 Ge 2.14
Cl 0.1944 0.0868 0.0882  1 Ge 2.14
Cl 0.6306 0.1944 0.0882  1 Ge 2.14
Cl 0.9353 0.1670 0.5971  1 Ge 2.14
Cl 0.0741 0.4523 0.9703  1 Ge 2.14
Cl 0.5741 0.0034 0.4703  1 Ge 2.14
Cl 0.4523 0.5034 0.9703  1 Ge 2.14
Cl 0.1670 0.3006 0.5971  1 Ge 2.14
Ge 0.4952 0.8825 0.4920  4 Cl 2.14
Ge 0.3825 0.9952 0.9920  4 Cl 2.14
Ge 0.8825 0.1303 0.4920  4 Cl 2.14
Ge 0.1303 0.4952 0.4920  4 Cl 2.14
Ge 0.9952 0.6303 0.9920  4 Cl 2.14
Ge 0.6303 0.3825 0.9920  4 Cl 2.14
I 0.5221 0.5221 0.4337  9 Cl 4.26-4.34
I 0.0221 0.0221 0.9337  9 Cl 4.26-4.34

=====

8.
Computed, not measured: a relaxed structure of GeICl at the PBE level of DFT.

Calculated values
Crystal system ... triclinic
DFT total energy ... -3.12 eV/atom
Density of states at the Fermi level ... 0.07 states/eV/cell

Lattice parameters (Å, degrees): 7.1072 7.2546 8.3823 126.29 125.52 58.75
Last column: nearest neighbours and their distance in Å.
Sites, in units of the cell vectors:
Cl 0.2075 0.2976 0.7104  1 Ge 2.20
Cl 0.7925 0.7024 0.2896  1 Ge 2.20
Ge 0.0617 0.4345 0.1511  1 Cl 2.20
Ge 0.9383 0.5655 0.8489  1 Cl 2.20
I 0.0000 0.0000 0.0000  2 Ge 2.79
I 0.5000 0.5000 0.5000  2 Ge 2.79